{
  "formula": "YSeCl3",
  "functional": "SCAN",
  "state": "single point on PBEsol structure",
  "sg": "Pm-3m",
  "total_magnetization_mub_per_fu": 2.000,
  "raw_formation_energy_ev_per_atom": -1.477,
  "lattice_angstrom": [[5.2130, 0.0000, 0.0000], [0.0000, 5.2130, 0.0000], [0.0000, 0.0000, 5.2130]],
  "species": ["Y", "Se", "Cl", "Cl", "Cl"],
  "fractional_positions": [[0.0000, 0.0000, 0.0000], [0.5000, 0.5000, 0.5000], [0.0000, 0.0000, 0.5000], [0.0000, 0.5000, 0.0000], [0.5000, 0.0000, 0.0000]]
}